# 1
The following is a GGA-PBE calculation of crystalline Pm4CdSi2 at its relaxed geometry, from Alexandria via LeMat-Bulk. Values from VASP.

Cell and atoms, written as Quantum ESPRESSO input:
```
&SYSTEM
  ibrav = 0, nat = 7, ntyp = 3
/
ATOMIC_SPECIES
Cd 112.41 Cd.upf
Pm 145.00 Pm.upf
Si 28.09 Si.upf
CELL_PARAMETERS angstrom
-0.3013 5.0068 0.3259
-0.4496 2.7676 -4.1717
-9.3256 2.0069 -0.6917
ATOMIC_POSITIONS crystal
Cd 0.0000 0.0000 0.0000
Pm 0.3824 0.3824 0.8528
Pm 0.6176 0.6176 0.1472
Pm 0.2071 0.2071 0.3786
Pm 0.7929 0.7929 0.6214
Si 0.9035 0.9035 0.2895
Si 0.0965 0.0965 0.7105
```

Results
ΔE_f (raw), kJ/mol of atoms: -30.3
Theoretical density, g/cm3: 6.234
Fermi-level density of states, states/eV/cell: 7.82
Total moment, μB/f.u.: 0.00

# 2
The following is a GGA-PBE calculation of crystalline Pm8CdSi2 at its relaxed geometry, from Alexandria via LeMat-Bulk. Values from VASP.

Cell and atoms, written as Quantum ESPRESSO input:
```
&SYSTEM
  ibrav = 0, nat = 11, ntyp = 3
/
ATOMIC_SPECIES
Pm 145.00 Pm.upf
Si 28.09 Si.upf
Cd 112.41 Cd.upf
CELL_PARAMETERS angstrom
5.7294 -0.1617 -0.2428
-1.1644 8.0862 -0.3153
-1.1644 -3.4053 7.3410
ATOMIC_POSITIONS crystal
Pm 0.5000 0.7551 0.2449
Pm 0.0715 0.0736 0.3186
Pm 0.5000 0.2449 0.7551
Pm 0.2996 0.5967 0.5967
Pm 0.9285 0.6814 0.9264
Pm 0.7004 0.4033 0.4033
Pm 0.0715 0.3186 0.0736
Pm 0.9285 0.9264 0.6814
Si 0.0000 0.6921 0.3079
Si 0.0000 0.3079 0.6921
Cd 0.5000 0.0000 0.0000
```

Results
ΔE_f (raw), kJ/mol of atoms: -23.1
Theoretical density, g/cm3: 6.700
Fermi-level density of states, states/eV/cell: 11.26
Total moment, μB/f.u.: 0.00

> Which value of ΔE_f (raw) does entry 1 give?

-30.3 kJ/mol of atoms

> What is the formula in the second record?

Pm8CdSi2